Entry 1:
Hf4Al2Ru after structural relaxation, computed with GGA-PBE.

Computed properties:
formation energy from the elements	0.37	eV per atom
ρ	8.6	g/cm³

The structure in CIF format:
```
data_Hf4Al2Ru
_symmetry_space_group_name_H-M 'P 1'
_symmetry_Int_Tables_number 1
_cell_length_a 4.816
_cell_length_b 4.816
_cell_length_c 14.402
_cell_angle_alpha 90.00
_cell_angle_beta 90.00
_cell_angle_gamma 90.00
loop_
_symmetry_equiv_pos_as_xyz
'x,y,z'
loop_
_atom_site_label
_atom_site_fract_x
_atom_site_fract_y
_atom_site_fract_z
Hf1 0.000 0.000 0.180
Hf2 0.000 0.000 0.820
Hf3 0.000 0.500 0.000
Hf4 0.000 0.500 0.500
Hf5 0.500 0.000 0.000
Hf6 0.500 0.000 0.500
Hf7 0.500 0.500 0.320
Hf8 0.500 0.500 0.680
Al1 0.000 0.000 0.373
Al2 0.000 0.000 0.627
Al3 0.500 0.500 0.127
Al4 0.500 0.500 0.873
Ru1 0.000 0.000 0.000
Ru2 0.500 0.500 0.500
```

=====

Entry 2:
Hf3AlRu after structural relaxation, computed with GGA-PBE.

Computed properties:
formation energy from the elements	0.33	eV per atom
ΔE to the lowest computed polymorph	0.000	eV per atom
ρ	9.2	g/cm³

The structure in CIF format:
```
data_Hf3AlRu
_symmetry_space_group_name_H-M 'P 1'
_symmetry_Int_Tables_number 1
_cell_length_a 4.935
_cell_length_b 4.935
_cell_length_c 4.935
_cell_angle_alpha 90.00
_cell_angle_beta 90.00
_cell_angle_gamma 90.00
loop_
_symmetry_equiv_pos_as_xyz
'x,y,z'
loop_
_atom_site_label
_atom_site_fract_x
_atom_site_fract_y
_atom_site_fract_z
Hf1 0.000 0.000 0.500
Hf2 0.000 0.500 0.000
Hf3 0.500 0.000 0.000
Al1 0.500 0.500 0.500
Ru1 0.000 0.000 0.000
```

=====

Entry 3:
HfAl3Ru after structural relaxation, computed with GGA-PBE.

Computed properties:
formation energy from the elements	1.63	eV per atom
ΔE to the lowest computed polymorph	2.159	eV per atom
ρ	4.7	g/cm³

The structure in CIF format:
```
data_HfAl3Ru
_symmetry_space_group_name_H-M 'P 1'
_symmetry_Int_Tables_number 1
_cell_length_a 5.042
_cell_length_b 5.042
_cell_length_c 5.042
_cell_angle_alpha 90.00
_cell_angle_beta 90.00
_cell_angle_gamma 90.00
loop_
_symmetry_equiv_pos_as_xyz
'x,y,z'
loop_
_atom_site_label
_atom_site_fract_x
_atom_site_fract_y
_atom_site_fract_z
Hf1 0.000 0.000 0.000
Al1 0.000 0.000 0.500
Al2 0.000 0.500 0.000
Al3 0.500 0.000 0.000
Ru1 0.500 0.500 0.500
```

=====

Entry 4:
HfAl4Ru2 after structural relaxation, computed with GGA-PBE.

Computed properties:
formation energy from the elements	0.88	eV per atom
ρ	5.2	g/cm³

The structure in CIF format:
```
data_HfAl4Ru2
_symmetry_space_group_name_H-M 'P 1'
_symmetry_Int_Tables_number 1
_cell_length_a 4.937
_cell_length_b 4.937
_cell_length_c 12.783
_cell_angle_alpha 90.00
_cell_angle_beta 90.00
_cell_angle_gamma 90.00
loop_
_symmetry_equiv_pos_as_xyz
'x,y,z'
loop_
_atom_site_label
_atom_site_fract_x
_atom_site_fract_y
_atom_site_fract_z
Hf1 0.000 0.000 0.000
Hf2 0.500 0.500 0.500
Al1 0.000 0.000 0.215
Al2 0.000 0.000 0.785
Al3 0.000 0.500 0.000
Al4 0.000 0.500 0.500
Al5 0.500 0.000 0.000
Al6 0.500 0.000 0.500
Al7 0.500 0.500 0.285
Al8 0.500 0.500 0.715
Ru1 0.000 0.000 0.406
Ru2 0.000 0.000 0.594
Ru3 0.500 0.500 0.094
Ru4 0.500 0.500 0.906
```

=====

Entry 5:
Hf2AlRu2 after structural relaxation, computed with GGA-PBE.

Computed properties:
formation energy from the elements	-0.43	eV per atom
ρ	10.9	g/cm³

The structure in CIF format:
```
data_Hf2AlRu2
_symmetry_space_group_name_H-M 'P 1'
_symmetry_Int_Tables_number 1
_cell_length_a 7.299
_cell_length_b 7.299
_cell_length_c 3.339
_cell_angle_alpha 90.00
_cell_angle_beta 90.00
_cell_angle_gamma 90.00
loop_
_symmetry_equiv_pos_as_xyz
'x,y,z'
loop_
_atom_site_label
_atom_site_fract_x
_atom_site_fract_y
_atom_site_fract_z
Hf1 0.160 0.340 0.000
Hf2 0.340 0.840 0.000
Hf3 0.660 0.160 0.000
Hf4 0.840 0.660 0.000
Al1 0.000 0.000 0.500
Al2 0.500 0.500 0.500
Ru1 0.143 0.643 0.500
Ru2 0.357 0.143 0.500
Ru3 0.643 0.857 0.500
Ru4 0.857 0.357 0.500
```

=====

Entry 6:
HfSc2Al2Ru5 after structural relaxation, computed with GGA-PBE.

Computed properties:
formation energy from the elements	-0.49	eV per atom
ρ	8.4	g/cm³

The structure in CIF format:
```
data_HfSc2Al2Ru5
_symmetry_space_group_name_H-M 'P 1'
_symmetry_Int_Tables_number 1
_cell_length_a 9.878
_cell_length_b 9.878
_cell_length_c 3.337
_cell_angle_alpha 90.00
_cell_angle_beta 90.00
_cell_angle_gamma 90.00
loop_
_symmetry_equiv_pos_as_xyz
'x,y,z'
loop_
_atom_site_label
_atom_site_fract_x
_atom_site_fract_y
_atom_site_fract_z
Hf1 0.000 0.000 0.000
Hf2 0.500 0.500 0.000
Sc1 0.170 0.330 0.000
Sc2 0.330 0.830 0.000
Sc3 0.670 0.170 0.000
Sc4 0.830 0.670 0.000
Al1 0.128 0.628 0.000
Al2 0.372 0.128 0.000
Al3 0.628 0.872 0.000
Al4 0.872 0.372 0.000
Ru1 0.000 0.500 0.500
Ru2 0.072 0.799 0.500
Ru3 0.201 0.072 0.500
Ru4 0.299 0.572 0.500
Ru5 0.428 0.299 0.500
Ru6 0.500 0.000 0.500
Ru7 0.572 0.701 0.500
Ru8 0.701 0.428 0.500
Ru9 0.799 0.928 0.500
Ru10 0.928 0.201 0.500
```

=====

Entry 7:
HfAl2RuSe after structural relaxation, computed with GGA-PBE.

Computed properties:
uncorrected formation energy	717	meV per atom
ρ	6.7	g/cm³

The structure in CIF format:
```
data_HfAl2RuSe
_symmetry_space_group_name_H-M 'P 1'
_symmetry_Int_Tables_number 1
_cell_length_a 4.751
_cell_length_b 4.751
_cell_length_c 4.540
_cell_angle_alpha 90.00
_cell_angle_beta 90.00
_cell_angle_gamma 90.00
loop_
_symmetry_equiv_pos_as_xyz
'x,y,z'
loop_
_atom_site_label
_atom_site_fract_x
_atom_site_fract_y
_atom_site_fract_z
Hf1 0.000 0.000 0.000
Al1 0.000 0.500 0.500
Al2 0.500 0.000 0.500
Ru1 0.500 0.500 0.000
Se1 0.500 0.500 0.500
```

=====

Entry 8:
Hf2TaAlRu after structural relaxation, computed with GGA-PBE.

Computed properties:
formation energy from the elements	1.11	eV per atom
ρ	9.2	g/cm³

The structure in CIF format:
```
data_Hf2TaAlRu
_symmetry_space_group_name_H-M 'P 1'
_symmetry_Int_Tables_number 1
_cell_length_a 5.109
_cell_length_b 5.109
_cell_length_c 4.606
_cell_angle_alpha 90.00
_cell_angle_beta 90.00
_cell_angle_gamma 90.00
loop_
_symmetry_equiv_pos_as_xyz
'x,y,z'
loop_
_atom_site_label
_atom_site_fract_x
_atom_site_fract_y
_atom_site_fract_z
Hf1 0.000 0.500 0.000
Hf2 0.500 0.000 0.000
Ta1 0.000 0.000 0.000
Al1 0.500 0.500 0.500
Ru1 0.000 0.000 0.500
```

=====

Repeat the third record exactly.
HfAl3Ru after structural relaxation, computed with GGA-PBE.

Computed properties:
formation energy from the elements	1.63	eV per atom
ΔE to the lowest computed polymorph	2.159	eV per atom
ρ	4.7	g/cm³

The structure in CIF format:
```
data_HfAl3Ru
_symmetry_space_group_name_H-M 'P 1'
_symmetry_Int_Tables_number 1
_cell_length_a 5.042
_cell_length_b 5.042
_cell_length_c 5.042
_cell_angle_alpha 90.00
_cell_angle_beta 90.00
_cell_angle_gamma 90.00
loop_
_symmetry_equiv_pos_as_xyz
'x,y,z'
loop_
_atom_site_label
_atom_site_fract_x
_atom_site_fract_y
_atom_site_fract_z
Hf1 0.000 0.000 0.000
Al1 0.000 0.000 0.500
Al2 0.000 0.500 0.000
Al3 0.500 0.000 0.000
Ru1 0.500 0.500 0.500
```